Entry from Alexandria via LeMat-Bulk: a relaxed structure of Li2CeCrO4 (GGA+U).

As for the total energy: -111.70 eV per cell.

Cell lengths 4.564, 4.564, 8.869 Å; angles 90.00, 90.00, 90.00 degrees
Space group I-4m2 (No. 119)
Unique sites:
Li (0.000, 0.000, 0.000) (multiplicity 2)
Li (0.000, 0.500, 0.250) (multiplicity 2)
Ce (0.000, 0.500, 0.750) (multiplicity 2)
Cr (0.000, 0.000, 0.500) (multiplicity 2)
O (0.000, 0.000, 0.267) (multiplicity 4)
O (0.000, 0.500, 0.001) (multiplicity 4)